The following is a DFT calculation (PBE) of crystalline DyErCo at its relaxed geometry.

Cell lengths 5.1885, 5.1885, 5.7804 Å; angles 90.00, 90.00, 90.00 degrees
Closest atoms and distances in Å follow each position.
Space group P4_2/mmc (No. 131)
Asymmetric unit:
Dy 0.0000 0.0000 0.2500 x2  2 Dy 2.89, 4 Er 2.97
Er 0.0000 0.5000 0.0000 x2  2 Co 2.59
Co 0.5000 0.5000 0.0000 x2  2 Er 2.59, 2 Co 2.89

Properties
The formation energy comes out at 1.285 eV per atom. Its energy relative to the lowest polymorph listed for this composition is 0.4619 eV/atom.



The following is a DFT calculation (PBE) of crystalline DyErCo at its relaxed geometry.

Cell lengths 6.6336, 6.6336, 6.6336 Å; angles 90.00, 90.00, 90.00 degrees
Closest atoms and distances in Å follow each position.
Space group F-43m (No. 216)
Asymmetric unit:
Dy 0.0000 0.0000 0.0000 x4  4 Co 2.87, 4 Er 2.87
Er 0.2500 0.2500 0.2500 x4  4 Dy 2.87
Co 0.2500 0.2500 0.7500 x4  4 Dy 2.87

Properties
The formation energy comes out at 0.823 eV per atom. Its energy relative to the lowest polymorph listed for this composition is 0.0000 eV/atom.



The following is a DFT calculation (PBE) of crystalline Dy2ErFe3Co6 at its relaxed geometry.

Cell lengths 5.0461, 5.0461, 23.6451 Å; angles 90.00, 90.00, 120.00 degrees
Closest atoms and distances in Å follow each position.
Space group R-3m (No. 166, hexagonal axes)
Asymmetric unit:
Dy 0.0000 0.0000 0.1409 x6  9 Co 2.89-3.00, 3 Fe 2.98, 3 Dy 3.16
Er 0.0000 0.0000 0.0000 x3  6 Fe 2.91, 12 Co 3.18
Fe 0.0000 0.0000 0.3332 x6  6 Co 2.41-2.42
Fe 0.0000 0.0000 0.5000 x3  6 Co 2.48
Co 0.0006 0.5003 0.9184 x18  3 Fe 2.41-2.48, 4 Co 2.52-2.53

Properties
The formation energy comes out at -0.184 eV per atom.



The following is a DFT calculation (PBE) of crystalline Dy2ErFe6Co3 at its relaxed geometry.

Cell lengths 5.0254, 5.0254, 24.3022 Å; angles 90.00, 90.00, 120.00 degrees
Closest atoms and distances in Å follow each position.
Space group R-3m (No. 166, hexagonal axes)
Asymmetric unit:
Dy 0.0000 0.0000 0.1420 x6  9 Fe 2.91-3.04, 3 Co 2.96, 3 Dy 3.14
Er 0.0000 0.0000 0.0000 x3  6 Co 2.90, 12 Fe 3.20
Fe 0.0001 0.5001 0.0814 x18  3 Co 2.44-2.53, 4 Fe 2.51
Co 0.0000 0.0000 0.3324 x6  6 Fe 2.44-2.47
Co 0.0000 0.0000 0.5000 x3  6 Fe 2.53

Properties
The formation energy comes out at -0.121 eV per atom.



The following is a DFT calculation (PBE) of crystalline DyEr2Fe6Co3 at its relaxed geometry.

Cell lengths 5.0263, 5.0263, 24.2432 Å; angles 90.00, 90.00, 120.00 degrees
Closest atoms and distances in Å follow each position.
Space group R-3m (No. 166, hexagonal axes)
Asymmetric unit:
Dy 0.0000 0.0000 0.0000 x3  6 Co 2.90, 12 Fe 3.21
Er 0.0000 0.0000 0.1422 x6  9 Fe 2.90-3.01, 3 Co 2.96, 3 Er 3.13
Fe 0.0006 0.5003 0.9178 x18  3 Co 2.45-2.51, 4 Fe 2.51-2.52
Co 0.0000 0.0000 0.3325 x6  6 Fe 2.45-2.48
Co 0.0000 0.0000 0.5000 x3  6 Fe 2.51

Properties
The formation energy comes out at -0.138 eV per atom.



The following is a DFT calculation (PBE) of crystalline DyEr2Fe8Co at its relaxed geometry.

Cell lengths 5.0384, 5.0384, 24.1265 Å; angles 90.00, 90.00, 120.00 degrees
Closest atoms and distances in Å follow each position.
Space group R-3m (No. 166, hexagonal axes)
Asymmetric unit:
Dy 0.0000 0.0000 0.0000 x3  18 Fe 2.91-3.20
Er 0.0000 0.0000 0.1419 x6  9 Fe 2.91-3.02, 3 Co 2.97, 3 Er 3.14
Fe 0.0000 0.0000 0.3328 x6  6 Fe 2.44-2.46
Fe 0.9996 0.4998 0.0819 x18  6 Fe 2.44-2.52, 1 Co 2.51
Co 0.0000 0.0000 0.5000 x3  6 Fe 2.51

Properties
The formation energy comes out at -0.120 eV per atom.



The following is a DFT calculation (PBE) of crystalline Dy2ErFe6CoNi2 at its relaxed geometry.

Cell lengths 4.9965, 4.9965, 24.5979 Å; angles 90.00, 90.00, 120.00 degrees
Closest atoms and distances in Å follow each position.
Space group R-3m (No. 166, hexagonal axes)
Asymmetric unit:
Dy 0.0000 0.0000 0.1418 x6  9 Fe 2.90-3.05, 3 Co 2.95, 3 Dy 3.13
Er 0.0000 0.0000 0.0000 x3  6 Ni 2.88, 12 Fe 3.21
Fe 0.9999 0.4999 0.0821 x18  2 Ni 2.47-2.49, 4 Fe 2.50, 1 Co 2.53
Co 0.0000 0.0000 0.5000 x3  6 Fe 2.53
Ni 0.0000 0.0000 0.3327 x6  6 Fe 2.47-2.49

Properties
The formation energy comes out at -0.152 eV per atom.



The following is a DFT calculation (PBE) of crystalline DyEr2Fe6Co2Ni at its relaxed geometry.

Cell lengths 5.0127, 5.0127, 24.3886 Å; angles 90.00, 90.00, 120.00 degrees
Closest atoms and distances in Å follow each position.
Space group R-3m (No. 166, hexagonal axes)
Asymmetric unit:
Dy 0.0000 0.0000 0.0000 x3  6 Co 2.89, 12 Fe 3.20
Er 0.0000 0.0000 0.1420 x6  9 Fe 2.91-3.04, 3 Ni 2.96, 3 Er 3.13
Fe 0.0018 0.5009 0.9183 x18  2 Co 2.45-2.48, 4 Fe 2.49-2.52, 1 Ni 2.53
Co 0.0000 0.0000 0.3329 x6  6 Fe 2.45-2.48
Ni 0.0000 0.0000 0.5000 x3  6 Fe 2.53

Properties
The formation energy comes out at -0.138 eV per atom.



The following is a DFT calculation (PBE) of crystalline DyEr2Fe2CoNi6 at its relaxed geometry.

Cell lengths 4.9770, 4.9770, 24.1542 Å; angles 90.00, 90.00, 120.00 degrees
Closest atoms and distances in Å follow each position.
Space group R-3m (No. 166, hexagonal axes)
Asymmetric unit:
Dy 0.0000 0.0000 0.0000 x3  6 Fe 2.87, 12 Ni 3.18
Er 0.0000 0.0000 0.1399 x6  9 Ni 2.85-3.06, 3 Co 2.95, 3 Er 3.15
Fe 0.0000 0.0000 0.3328 x6  6 Ni 2.44-2.45
Co 0.0000 0.0000 0.5000 x3  6 Ni 2.50
Ni 0.0017 0.5009 0.0820 x18  2 Fe 2.44-2.45, 4 Ni 2.48-2.50, 1 Co 2.50

Properties
The formation energy comes out at -0.322 eV per atom.



The following is a DFT calculation (PBE) of crystalline Dy2ErFe2CoNi6 at its relaxed geometry.

Cell lengths 4.9712, 4.9712, 24.2340 Å; angles 90.00, 90.00, 120.00 degrees
Closest atoms and distances in Å follow each position.
Space group R-3m (No. 166, hexagonal axes)
Asymmetric unit:
Dy 0.0000 0.0000 0.1395 x6  9 Ni 2.86-3.09, 3 Co 2.94, 3 Dy 3.16
Er 0.0000 0.0000 0.0000 x3  6 Fe 2.87, 12 Ni 3.17
Fe 0.0000 0.0000 0.3326 x6  6 Ni 2.43-2.45
Co 0.0000 0.0000 0.5000 x3  6 Ni 2.51
Ni 0.0021 0.5011 0.0812 x18  2 Fe 2.43-2.45, 4 Ni 2.47-2.50, 1 Co 2.51

Properties
The formation energy comes out at -0.312 eV per atom.



The following is a DFT calculation (PBE) of crystalline Dy2ErFeCo2Ni6 at its relaxed geometry.

Cell lengths 4.9469, 4.9469, 24.3122 Å; angles 90.00, 90.00, 120.00 degrees
Closest atoms and distances in Å follow each position.
Space group R-3m (No. 166, hexagonal axes)
Asymmetric unit:
Dy 0.0000 0.0000 0.1399 x6  9 Ni 2.85-3.07, 3 Fe 2.93, 3 Dy 3.14
Er 0.0000 0.0000 0.0000 x3  6 Co 2.86, 12 Ni 3.17
Fe 0.0000 0.0000 0.5000 x3  6 Ni 2.51
Co 0.0000 0.0000 0.3329 x6  6 Ni 2.44-2.45
Ni 0.0014 0.5007 0.0817 x18  2 Co 2.44-2.45, 4 Ni 2.46-2.48, 1 Fe 2.51

Properties
The formation energy comes out at -0.259 eV per atom.



The following is a DFT calculation (PBE) of crystalline Dy2ErFe6Co2Ni at its relaxed geometry.

Cell lengths 5.0136, 5.0136, 24.4665 Å; angles 90.00, 90.00, 120.00 degrees
Closest atoms and distances in Å follow each position.
Space group R-3m (No. 166, hexagonal axes)
Asymmetric unit:
Dy 0.0000 0.0000 0.1419 x6  9 Fe 2.91-3.06, 3 Ni 2.96, 3 Dy 3.14
Er 0.0000 0.0000 0.0000 x3  6 Co 2.89, 12 Fe 3.20
Fe 0.0013 0.5007 0.9189 x18  2 Co 2.44-2.47, 4 Fe 2.50-2.52, 1 Ni 2.55
Co 0.0000 0.0000 0.3328 x6  6 Fe 2.44-2.47
Ni 0.0000 0.0000 0.5000 x3  6 Fe 2.55

Properties
The formation energy comes out at -0.123 eV per atom.



The following is a DFT calculation (PBE) of crystalline Dy2ErFe2Co6Ni at its relaxed geometry.

Cell lengths 4.9894, 4.9894, 24.0603 Å; angles 90.00, 90.00, 120.00 degrees
Closest atoms and distances in Å follow each position.
Space group R-3m (No. 166, hexagonal axes)
Asymmetric unit:
Dy 0.0000 0.0000 0.1401 x6  9 Co 2.88-3.07, 3 Ni 2.95, 3 Dy 3.15
Er 0.0000 0.0000 0.0000 x3  6 Fe 2.88, 12 Co 3.16
Fe 0.0000 0.0000 0.3339 x6  6 Co 2.40-2.42
Co 0.9999 0.5000 0.0805 x18  2 Fe 2.40-2.42, 4 Co 2.49-2.50, 1 Ni 2.52
Ni 0.0000 0.0000 0.5000 x3  6 Co 2.52

Properties
The formation energy comes out at -0.198 eV per atom.



The following is a DFT calculation (PBE) of crystalline DyErGa2Co4 at its relaxed geometry.

Cell lengths 4.1270, 4.1270, 9.0591 Å; angles 90.00, 90.00, 120.00 degrees
Closest atoms and distances in Å follow each position.
Space group P-6m2 (No. 187)
Asymmetric unit:
Dy 0.0000 0.0000 0.0000 x1  2 Co 2.67
Er 0.6667 0.3333 0.5000 x1  2 Co 2.62
Ga 0.3333 0.6667 0.2523 x2  6 Co 2.41
Co 0.0000 0.0000 0.2942 x2  3 Ga 2.41, 3 Co 2.50, 1 Dy 2.67
Co 0.6667 0.3333 0.2104 x2  3 Ga 2.41, 3 Co 2.50, 1 Er 2.62



The following is a DFT calculation (PBE) of crystalline DyErGaCo2 at its relaxed geometry.

Cell lengths 3.8468, 3.7497, 13.0464 Å; angles 90.00, 90.00, 90.00 degrees
Closest atoms and distances in Å follow each position.
Space group Amm2 (No. 38)
Asymmetric unit:
Dy 0.0000 0.0000 0.0000 x2  6 Co 2.83-2.92
Er 0.0000 0.0000 0.7340 x2  6 Co 2.82-2.89
Ga 0.5000 0.0000 0.3665 x2  2 Co 2.59-2.63
Co 0.5000 0.0000 0.1679 x2  2 Co 2.28
Co 0.5000 0.0000 0.5684 x2  2 Co 2.28



The following is a DFT calculation (PBE) of crystalline Dy2ErGa3CoGe2 at its relaxed geometry.

Cell lengths 4.1265, 12.0082, 6.9449 Å; angles 90.00, 90.00, 90.00 degrees
Closest atoms and distances in Å follow each position.
Space group Amm2 (No. 38)
Asymmetric unit:
Dy 0.0000 0.1997 0.0000 x4  1 Co 2.78, 4 Ge 2.96
Er 0.0000 0.0000 0.5987 x2  1 Co 2.76, 4 Ge 2.95
Ga 0.5000 0.0000 0.9709 x2  2 Co 2.61, 2 Ge 2.74, 2 Ga 2.75
Ga 0.5000 0.1142 0.3150 x4  2 Co 2.60, 2 Ge 2.74-2.76, 2 Ga 2.74-2.75
Co 0.0000 0.0000 0.2015 x2  6 Ga 2.60-2.61, 1 Er 2.76, 2 Dy 2.78
Ge 0.5000 0.1657 0.6996 x4  3 Ga 2.74-2.76, 2 Er 2.95, 4 Dy 2.96



The following is a DFT calculation (PBE) of crystalline GdDy3Er2CoTe2 at its relaxed geometry.

Cell lengths 3.9134, 14.4094, 8.3967 Å; angles 90.00, 90.00, 90.00 degrees
Closest atoms and distances in Å follow each position.
Space group Amm2 (No. 38)
Asymmetric unit:
Gd 0.0000 0.0000 0.0000 x2  4 Te 3.22, 1 Co 3.47, 6 Dy 3.52-3.60
Dy 0.5000 0.0000 0.6397 x2  2 Co 2.73
Dy 0.5000 0.1178 0.2838 x4  2 Co 2.81
Er 0.0000 0.1976 0.6013 x4  4 Te 3.22, 1 Co 3.25, 4 Dy 3.47-3.50
Co 0.0000 0.0000 0.4134 x2  6 Dy 2.73-2.81
Te 0.5000 0.1683 0.9023 x4  4 Er 3.22, 2 Gd 3.22, 3 Dy 3.24-3.28



The following is a DFT calculation (PBE) of crystalline DyErCo2Ge4 at its relaxed geometry.

Cell lengths 4.1384, 4.1229, 16.5554 Å; angles 90.00, 90.00, 90.00 degrees
Closest atoms and distances in Å follow each position.
Space group Amm2 (No. 38)
Asymmetric unit:
Dy 0.0000 0.0000 0.0000 x2  10 Ge 3.10-3.28, 4 Co 3.15
Er 0.5000 0.0000 0.2187 x2  10 Ge 3.10-3.28, 4 Co 3.15
Co 0.0000 0.0000 0.7898 x2  5 Ge 2.25-2.36
Co 0.5000 0.0000 0.4286 x2  5 Ge 2.25-2.37
Ge 0.0000 0.0000 0.3598 x2  4 Co 2.36
Ge 0.0000 0.0000 0.6542 x2  1 Co 2.25
Ge 0.5000 0.0000 0.5645 x2  1 Co 2.25
Ge 0.5000 0.0000 0.8585 x2  4 Co 2.36-2.37



The following is a DFT calculation (PBE) of crystalline Dy3Ho2ErCoTe2 at its relaxed geometry.

Cell lengths 3.8928, 14.4517, 8.3245 Å; angles 90.00, 90.00, 90.00 degrees
Closest atoms and distances in Å follow each position.
Space group Amm2 (No. 38)
Asymmetric unit:
Dy 0.0000 0.0000 0.0000 x2  2 Co 2.78
Dy 0.0000 0.1183 0.6449 x4  2 Co 2.77
Ho 0.5000 0.1997 0.9627 x4  4 Te 3.21, 1 Co 3.34, 4 Dy 3.49-3.50
Er 0.5000 0.0000 0.3653 x2  4 Te 3.21, 1 Co 3.29, 4 Dy 3.48
Co 0.5000 0.0000 0.7611 x2  6 Dy 2.77-2.78
Te 0.0000 0.1664 0.2633 x4  4 Ho 3.21, 2 Er 3.21, 3 Dy 3.25-3.26



The following is a DFT calculation (PBE) of crystalline Dy2Ho3ErCoTe2 at its relaxed geometry.

Cell lengths 3.2248, 16.5066, 9.4829 Å; angles 90.00, 90.00, 90.00 degrees
Closest atoms and distances in Å follow each position.
Space group Amm2 (No. 38)
Asymmetric unit:
Dy 0.0000 0.1702 0.0000 x4  3 Ho 3.12-3.29, 2 Te 3.13, 2 Dy 3.22, 1 Co 3.24
Ho 0.0000 0.0000 0.8557 x2  1 Co 2.98, 2 Dy 3.13, 2 Ho 3.22, 1 Er 3.26, 2 Te 3.27
Ho 0.0000 0.1569 0.3285 x4  1 Co 2.99, 1 Er 3.12, 2 Dy 3.12-3.29, 2 Ho 3.22, 2 Te 3.24-3.27
Er 0.0000 0.0000 0.5122 x2  3 Ho 3.12-3.26, 2 Te 3.14, 2 Er 3.22, 1 Co 3.24
Co 0.0000 0.0000 0.1704 x2  3 Ho 2.98-2.99, 2 Co 3.22, 2 Dy 3.24, 1 Er 3.24
Te 0.0000 0.1672 0.6702 x4  2 Dy 3.13, 1 Er 3.14, 2 Te 3.22, 3 Ho 3.24-3.27



The following is a DFT calculation (PBE) of crystalline DyErInCo2 at its relaxed geometry.

Cell lengths 3.8651, 3.7960, 13.6873 Å; angles 90.00, 90.00, 90.00 degrees
Closest atoms and distances in Å follow each position.
Space group Amm2 (No. 38)
Asymmetric unit:
Dy 0.0000 0.0000 0.0000 x2  6 Co 2.86-2.87
Er 0.0000 0.0000 0.7210 x2  6 Co 2.86
In 0.5000 0.0000 0.3600 x2  2 Co 2.80-2.84
Co 0.5000 0.0000 0.1551 x2  2 Co 2.25
Co 0.5000 0.0000 0.5674 x2  2 Co 2.25



The following is a DFT calculation (PBE) of crystalline La3Dy2ErCoTe2 at its relaxed geometry.

Cell lengths 4.0898, 14.8029, 8.5511 Å; angles 90.00, 90.00, 90.00 degrees
Closest atoms and distances in Å follow each position.
Space group Amm2 (No. 38)
Asymmetric unit:
La 0.0000 0.0000 0.0000 x2  4 Te 3.31, 1 Co 3.47, 4 Dy 3.63
La 0.0000 0.2014 0.3951 x4  4 Te 3.31, 1 Co 3.43, 2 Er 3.62, 2 Dy 3.62
Dy 0.5000 0.1143 0.7107 x4  2 Co 2.83
Er 0.5000 0.0000 0.3689 x2  2 Co 2.81
Co 0.0000 0.0000 0.5946 x2  2 Er 2.81, 4 Dy 2.83
Te 0.5000 0.1665 0.0967 x4  6 La 3.31, 2 Dy 3.39, 1 Er 3.39



The following is a DFT calculation (PBE) of crystalline Nd3DyEr2CoS2 at its relaxed geometry.

Cell lengths 3.8431, 13.8990, 8.0069 Å; angles 90.00, 90.00, 90.00 degrees
Closest atoms and distances in Å follow each position.
Space group Amm2 (No. 38)
Asymmetric unit:
Nd 0.0000 0.0000 0.0000 x2  4 S 3.08, 1 Co 3.32, 2 Dy 3.34
Nd 0.0000 0.2096 0.6278 x4  4 S 3.07-3.08, 2 Er 3.34, 1 Co 3.38
Dy 0.5000 0.0000 0.6590 x2  2 Co 2.74
Er 0.5000 0.1202 0.2984 x4  2 Co 2.71
Co 0.0000 0.0000 0.4144 x2  4 Er 2.71, 2 Dy 2.74
S 0.5000 0.1671 0.9188 x4  6 Nd 3.07-3.08, 2 Er 3.11, 1 Dy 3.12



Number 1: final energy -24.8 eV per cell. Number 2: final energy -55.2 eV per cell. Number 3: final energy -250.6 eV per cell. Number 4: final energy -259.2 eV per cell. Number 5: final energy -259.7 eV per cell. Number 6: final energy -266.2 eV per cell. Number 7: final energy -251.0 eV per cell. Number 8: final energy -255.1 eV per cell. Number 9: final energy -224.2 eV per cell. Number 10: final energy -223.9 eV per cell. Number 11: final energy -218.4 eV per cell. Number 12: final energy -254.6 eV per cell. Number 13: final energy -242.9 eV per cell. Number 14: final energy -46.0 eV per cell. Number 15: final energy -56.6 eV per cell. Number 16: final energy -91.0 eV per cell. Number 17: final energy -93.9 eV per cell. Number 18: final energy -93.7 eV per cell. Number 19: final energy -93.6 eV per cell. Number 20: final energy -76.9 eV per cell. Number 21: final energy -55.7 eV per cell. Number 22: final energy -97.0 eV per cell. Number 23: final energy -101.2 eV per cell.